Density functional theory data (PBE) for a relaxed structure of LiAcCdSi.

Cell lengths 5.259, 5.259, 5.259 Å; angles 60.00, 60.00, 60.00 degrees
Fractional coordinates of all 4 atoms:
Li1 0.000 0.000 0.000
Ac1 0.500 0.500 0.500
Cd1 0.250 0.250 0.250
Si1 0.750 0.750 0.750

Output
Formation energy (no corrections): -0.22 eV per atom
DOS(E_F): 1.66 states/eV/f.u.
Mass density: 6.05 g/cm3
Space group: F-43m, No. 216
Total moment: 0.00 μB per cell


Density functional theory data (PBE) for a relaxed structure of Li2AcSmCd4.

Cell lengths 9.684, 9.684, 9.684 Å; angles 30.53, 30.53, 30.53 degrees
Fractional coordinates of all 8 atoms:
Li1 0.241 0.241 0.241
Li2 0.759 0.759 0.759
Ac1 0.000 0.000 0.000
Sm1 0.500 0.500 0.500
Cd1 0.123 0.123 0.123
Cd2 0.389 0.389 0.389
Cd3 0.611 0.611 0.611
Cd4 0.877 0.877 0.877

Output
DOS(E_F): 5.48 states/eV/f.u.
Mass density: 6.72 g/cm3
ΔE_f: -0.24 eV per atom
Space group: R-3m, No. 166
Total moment: 0.00 μB per cell


Density functional theory data (PBE) for a relaxed structure of Li3Ac2Cd12Sn.

Cell lengths 12.045, 12.045, 12.045 Å; angles 33.52, 33.52, 33.52 degrees
Fractional coordinates of all 18 atoms:
Li1 0.000 0.500 0.500
Li2 0.500 0.000 0.500
Li3 0.500 0.500 0.000
Ac1 0.140 0.140 0.140
Ac2 0.860 0.860 0.860
Cd1 0.081 0.615 0.615
Cd2 0.093 0.093 0.678
Cd3 0.093 0.678 0.093
Cd4 0.322 0.907 0.907
Cd5 0.385 0.385 0.919
Cd6 0.385 0.919 0.385
Cd7 0.615 0.081 0.615
Cd8 0.615 0.615 0.081
Cd9 0.678 0.093 0.093
Cd10 0.907 0.322 0.907
Cd11 0.907 0.907 0.322
Cd12 0.919 0.385 0.385
Sn1 0.500 0.500 0.500

Output
DOS(E_F): 9.37 states/eV/f.u.
Mass density: 6.80 g/cm3
ΔE_f: -0.08 eV per atom
Space group: R-3m, No. 166
Total moment: 0.00 μB per cell


Density functional theory data (PBE) for a relaxed structure of SrLiAcCd.

Cell lengths 5.769, 5.769, 5.769 Å; angles 60.00, 60.00, 60.00 degrees
Fractional coordinates of all 4 atoms:
Sr1 0.000 0.000 0.000
Li1 0.750 0.750 0.750
Ac1 0.500 0.500 0.500
Cd1 0.250 0.250 0.250

Output
DOS(E_F): 3.38 states/eV/f.u.
Mass density: 5.31 g/cm3
ΔE_f: -0.13 eV per atom
Space group: F-43m, No. 216
Total moment: 0.00 μB per cell


Density functional theory data (PBE) for a relaxed structure of Li4AcTlCd2.

Cell lengths 9.886, 9.886, 9.886 Å; angles 27.91, 27.91, 27.91 degrees
Fractional coordinates of all 8 atoms:
Li1 0.093 0.093 0.093
Li2 0.366 0.366 0.366
Li3 0.634 0.634 0.634
Li4 0.907 0.907 0.907
Ac1 0.500 0.500 0.500
Tl1 0.000 0.000 0.000
Cd1 0.253 0.253 0.253
Cd2 0.747 0.747 0.747

Output
DOS(E_F): 6.27 states/eV/f.u.
Mass density: 6.07 g/cm3
ΔE_f: -0.16 eV per atom
Space group: R-3m, No. 166
Total moment: 0.76 μB per cell


Density functional theory data (PBE) for a relaxed structure of LiAc2Tl6Cd.

Cell lengths 7.594, 7.594, 7.550 Å; angles 119.71, 119.71, 90.21 degrees
Fractional coordinates of all 10 atoms:
Li1 0.000 0.000 0.000
Ac1 0.253 0.747 0.500
Ac2 0.747 0.253 0.500
Tl1 0.231 0.231 0.988
Tl2 0.236 0.236 0.475
Tl3 0.238 0.762 0.000
Tl4 0.762 0.238 0.000
Tl5 0.764 0.764 0.525
Tl6 0.769 0.769 0.012
Cd1 0.500 0.500 0.000

Output
DOS(E_F): 4.52 states/eV/f.u.
Mass density: 9.64 g/cm3
ΔE_f: -0.07 eV per atom
Space group: C2/m, No. 12
Total moment: 0.00 μB per cell


Density functional theory data (PBE) for a relaxed structure of LiAcTlCd.

Cell lengths 4.944, 4.944, 6.146 Å; angles 113.79, 113.79, 60.02 degrees
Fractional coordinates of all 4 atoms:
Li1 0.000 0.000 0.000
Ac1 0.499 0.499 0.498
Tl1 0.716 0.716 0.149
Cd1 0.286 0.286 0.859

Output
DOS(E_F): 3.76 states/eV/f.u.
Mass density: 7.94 g/cm3
ΔE_f: -0.27 eV per atom
Space group: Cm, No. 8
Total moment: 0.00 μB per cell


Density functional theory data (PBE) for a relaxed structure of Li4Ac2Tl3Cd.

Cell lengths 4.984, 4.984, 10.279 Å; angles 90.00, 90.00, 90.00 degrees
Fractional coordinates of all 10 atoms:
Li1 0.000 0.000 0.000
Li2 0.000 0.500 0.382
Li3 0.500 0.000 0.618
Li4 0.500 0.500 0.000
Ac1 0.000 0.500 0.753
Ac2 0.500 0.000 0.247
Tl1 0.000 0.000 0.500
Tl2 0.000 0.500 0.125
Tl3 0.500 0.000 0.875
Cd1 0.500 0.500 0.500

Output
DOS(E_F): 9.23 states/eV/f.u.
Mass density: 7.85 g/cm3
ΔE_f: -0.25 eV per atom
Space group: P-4m2, No. 115
Total moment: 0.00 μB per cell